1.
8
Lattice="3.5581 0.0000 0.0000 -1.7790 3.0814 0.0000 0.0000 0.0000 18.1591" Properties=species:S:1:pos:R:3 comment="KTm4CdC2 PBE relaxed" total_magnetization_mub_per_fu=0.04 e_tot_ev_per_cell=-40.026 space_group=P-6m2 pbc="T T T"
Tm 0.0000 2.0543 6.4450
C 1.7791 1.0271 13.1233
C 1.7791 1.0271 5.0358
K 0.0000 2.0543 0.0000
Tm 0.0000 2.0543 11.7141
Cd 0.0000 0.0000 9.0795
Tm 0.0000 0.0000 3.8134
Tm 0.0000 0.0000 14.3457

---

2.
8
Lattice="-2.4855 2.6541 1.9520 -6.1963 -4.4839 -1.7931 0.6715 -2.7833 4.6395" Properties=species:S:1:pos:R:3 comment="HoPaPO PBE relaxed" total_magnetization_mub_per_fu=1.13 e_above_lowest_polymorph_mev_per_atom=0 space_group=Pmc2_1 pbc="T T T"
P -0.2470 -3.2484 4.1023
Ho -4.2721 -6.1606 2.9369
Ho -0.9991 -2.1576 1.6614
P -5.0241 -5.0707 0.4974
Pa -4.8285 -2.7029 1.8898
O -2.9774 -1.3576 2.4176
O -4.7815 -4.2977 4.1181
Pa -2.9280 -2.9622 4.6623

---

3.
6
Lattice="3.1571 -4.8038 7.9075 3.4022 4.9671 7.7023 -5.1698 0.3038 8.2918" Properties=species:S:1:pos:R:3 comment="Sr2Zn PBE relaxed" e_tot_ev_per_cell=-5.448 space_group=Fd-3m pbc="T T T"
Sr 2.0996 -2.2268 12.9169
Sr 0.5211 0.1751 8.9631
Zn 0.6948 0.2335 11.9508
Sr -2.0638 0.3271 13.1090
Zn 0.3474 0.1168 5.9754
Sr 2.2222 2.6587 12.8143

---

4.
4
Lattice="-3.2069 2.0169 2.6028 -3.7222 1.8505 -1.9615 -4.1091 -1.9884 0.5364" Properties=species:S:1:pos:R:3 comment="FeBiPtW PBE relaxed" total_magnetization_mub_per_fu=1.74 e_above_lowest_polymorph_mev_per_atom=0 space_group=F-43m pbc="T T T"
Bi 0.0000 0.0000 0.0000
Pt -5.5191 0.9395 0.5888
Fe -8.2786 1.4092 0.8833
W -2.7595 0.4697 0.2944

---

5.
8
Lattice="5.6009 0.0000 0.0000 0.0000 5.7799 0.0000 0.0000 0.0000 8.1723" Properties=species:S:1:pos:R:3 comment="K2CdIn PBE relaxed" e_tot_ev_per_cell=-11.844 space_group=Pmma pbc="T T T"
K 1.4002 0.0000 5.1401
Cd 1.4002 0.0000 1.0549
In 4.2007 2.8899 5.0202
Cd 4.2007 0.0000 7.1174
K 4.2007 0.0000 3.0322
K 4.2007 2.8899 1.0043
In 1.4002 2.8899 3.1521
K 1.4002 2.8899 7.1680

---

6.
3
Lattice="0.0000 3.8440 3.8440 3.8440 0.0000 3.8440 3.8440 3.8440 0.0000" Properties=species:S:1:pos:R:3 comment="SrScPa PBE relaxed" total_magnetization_mub_per_fu=3.71 e_above_lowest_polymorph_mev_per_atom=0 space_group=F-43m pbc="T T T"
Sc 0.0000 0.0000 0.0000
Pa 1.9220 1.9220 1.9220
Sr 5.7661 5.7661 5.7661